(1)
# Dy2P4Ru5 | Alexandria via LeMat-Bulk | PBE | optimized geometry
data_Dy2P4Ru5
_chemical_formula_sum 'Dy8 P16 Ru20'
_space_group_name_H-M_alt 'F m m m'
_space_group_IT_number 69
_space_group_name_Hall '-F 2 2'
_cell_length_a 5.586
_cell_length_b 9.673
_cell_length_c 13.412
_cell_angle_alpha 90.00
_cell_angle_beta 90.00
_cell_angle_gamma 90.00
loop_
_atom_site_label
_atom_site_fract_x
_atom_site_fract_y
_atom_site_fract_z
Dy1 0.000 0.000 0.128
P1 0.000 0.156 0.369
Ru1 0.000 0.000 0.500
Ru2 0.250 0.250 0.000
Ru3 0.250 0.250 0.250
# Density in g/cm3: 8.7
# Energy of formation in eV per formula unit: -8.586
# M_tot in μB/cell: 0.000



(2)
# DyP2Ru2 | Alexandria via LeMat-Bulk | PBE | optimized geometry
data_DyP2Ru2
_chemical_formula_sum 'Dy2 P4 Ru4'
_space_group_name_H-M_alt 'I 4/m m m'
_space_group_IT_number 139
_space_group_name_Hall '-I 4 2'
_cell_length_a 4.054
_cell_length_b 4.054
_cell_length_c 9.576
_cell_angle_alpha 90.00
_cell_angle_beta 90.00
_cell_angle_gamma 90.00
loop_
_atom_site_label
_atom_site_fract_x
_atom_site_fract_y
_atom_site_fract_z
Dy1 0.000 0.000 0.000
P1 0.000 0.000 0.375
Ru1 0.000 0.500 0.250
# Density in g/cm3: 9.0
# Energy of formation in eV per formula unit: -5.184
# M_tot in μB/cell: 0.000



(3)
# DyP4Ru6 | Alexandria via LeMat-Bulk | PBE | optimized geometry
data_DyP4Ru6
_chemical_formula_sum 'Dy1 P4 Ru6'
_space_group_name_H-M_alt 'P -6 m 2'
_space_group_IT_number 187
_space_group_name_Hall 'P -6 2'
_cell_length_a 6.9425
_cell_length_b 6.9425
_cell_length_c 3.7405
_cell_angle_alpha 90.00
_cell_angle_beta 90.00
_cell_angle_gamma 120.00
loop_
_atom_site_label
_atom_site_fract_x
_atom_site_fract_y
_atom_site_fract_z
Dy1 0.0000 0.0000 0.0000
P1 0.3333 0.6667 0.0000
P2 0.3795 0.1898 0.5000
Ru1 0.1989 0.3978 0.5000
Ru2 0.5349 0.0698 0.0000
# Density in g/cm3: 9.5
# Energy of formation in eV per formula unit: -8.312
# M_tot in μB/cell: 0.000



(4)
# DyVP2Ru | Alexandria via LeMat-Bulk | PBE | optimized geometry
data_DyVP2Ru
_chemical_formula_sum 'Dy2 V2 P4 Ru2'
_space_group_name_H-M_alt 'I -4 m 2'
_space_group_IT_number 119
_space_group_name_Hall 'I -4 -2'
_cell_length_a 4.045
_cell_length_b 4.045
_cell_length_c 9.761
_cell_angle_alpha 90.00
_cell_angle_beta 90.00
_cell_angle_gamma 90.00
loop_
_atom_site_label
_atom_site_fract_x
_atom_site_fract_y
_atom_site_fract_z
Dy1 0.000 0.000 0.000
V1 0.000 0.500 0.750
P1 0.000 0.000 0.377
Ru1 0.000 0.500 0.250
# Density in g/cm3: 7.8
# Energy of formation in eV per formula unit: -4.723
# M_tot in μB/cell: 4.277



(5)
# DyPS | Alexandria via LeMat-Bulk | PBE | optimized geometry
data_DyPS
_chemical_formula_sum 'Dy4 P4 S4'
_space_group_name_H-M_alt 'P n m a'
_space_group_IT_number 62
_cell_length_a 6.991
_cell_length_b 3.660
_cell_length_c 9.211
_cell_angle_alpha 90.00
_cell_angle_beta 90.00
_cell_angle_gamma 90.00
loop_
_space_group_symop_operation_xyz
'x,y,z'
'-x,-y,-z'
'-x+1/2,-y,z+1/2'
'x+1/2,y,-z+1/2'
'x+1/2,-y+1/2,-z+1/2'
'-x+1/2,y+1/2,z+1/2'
'-x,y+1/2,-z'
'x,-y+1/2,z'
loop_
_atom_site_label
_atom_site_fract_x
_atom_site_fract_y
_atom_site_fract_z
Dy1 0.207 0.250 0.160
P1 0.090 0.250 0.462
S1 0.092 0.250 0.845
# Density in g/cm3: 6.4
# M_tot in μB/cell: 0.000
# Uncorrected formation energy in meV/atom: -1512.9



(6)
# Dy3PS2 | Alexandria via LeMat-Bulk | PBE | optimized geometry
data_Dy3PS2
_chemical_formula_sum 'Dy6 P2 S4'
_space_group_name_H-M_alt 'I m m m'
_space_group_IT_number 71
_space_group_name_Hall '-I 2 2'
_cell_length_a 3.935
_cell_length_b 5.559
_cell_length_c 11.881
_cell_angle_alpha 90.00
_cell_angle_beta 90.00
_cell_angle_gamma 90.00
loop_
_atom_site_label
_atom_site_fract_x
_atom_site_fract_y
_atom_site_fract_z
Dy1 0.000 0.000 0.000
Dy2 0.000 0.000 0.338
P1 0.000 0.500 0.000
S1 0.000 0.500 0.332
# Density in g/cm3: 7.4
# Energy relative to the lowest polymorph listed for this composition in eV per atom: 0.000
# M_tot in μB/cell: 0.000
# Uncorrected formation energy in meV/atom: -1929.2



(7)
# Dy5PS4 | Alexandria via LeMat-Bulk | PBE | optimized geometry
data_Dy5PS4
_chemical_formula_sum 'Dy10 P2 S8'
_space_group_name_H-M_alt 'I 4/m'
_space_group_IT_number 87
_space_group_name_Hall '-I 4'
_cell_length_a 8.783
_cell_length_b 8.783
_cell_length_c 5.552
_cell_angle_alpha 90.00
_cell_angle_beta 90.00
_cell_angle_gamma 90.00
loop_
_atom_site_label
_atom_site_fract_x
_atom_site_fract_y
_atom_site_fract_z
Dy1 0.000 0.000 0.000
Dy2 0.099 0.295 0.500
P1 0.000 0.000 0.500
S1 0.099 0.301 0.000
# Density in g/cm3: 7.5
# M_tot in μB/cell: 0.000
# Uncorrected formation energy in meV/atom: -1956.2



(8)
# Dy3P2S | Alexandria via LeMat-Bulk | PBE | optimized geometry
data_Dy3P2S
_chemical_formula_sum 'Dy6 P4 S2'
_space_group_name_H-M_alt 'I m m m'
_space_group_IT_number 71
_space_group_name_Hall '-I 2 2'
_cell_length_a 3.980
_cell_length_b 5.626
_cell_length_c 11.910
_cell_angle_alpha 90.00
_cell_angle_beta 90.00
_cell_angle_gamma 90.00
loop_
_atom_site_label
_atom_site_fract_x
_atom_site_fract_y
_atom_site_fract_z
Dy1 0.000 0.000 0.000
Dy2 0.000 0.000 0.329
P1 0.000 0.500 0.334
S1 0.000 0.500 0.000
# Density in g/cm3: 7.2
# M_tot in μB/cell: 0.000
# Uncorrected formation energy in meV/atom: -1813.6